1.
A relaxed Li3Sc4PaSe8 crystal. Source: Alexandria via LeMat-Bulk, functional PBE.

Geometry as extended XYZ:
```
16
Lattice="7.779 0.000 0.000 0.000 7.847 0.044 -3.889 -3.886 5.503" Properties=species:S:1:pos:R:3 pbc="T T T"
Se 1.992 1.926 0.019
Sc -1.945 -1.943 2.751
Se -1.897 2.036 5.528
Se 3.889 0.030 2.703
Li 1.945 1.981 2.773
Sc 3.889 0.000 0.000
Li -1.945 1.981 2.773
Sc 0.000 0.000 0.000
Se 5.787 1.926 0.019
Se 3.889 3.979 2.810
Pa 0.000 3.924 0.022
Sc 1.945 -1.943 2.751
Se 0.000 -0.018 2.736
Se 0.000 3.932 2.843
Se 1.897 2.036 5.528
Li 3.889 3.924 0.022
```

Symmetry = R-3m (166)
E_form (uncorrected) = -24.6 eV/f.u.

2.
A relaxed Ce2PmCd6 crystal. Source: Alexandria via LeMat-Bulk, functional PBE.

Geometry as extended XYZ:
```
9
Lattice="-2.914 -1.441 -0.709 -2.203 0.241 8.569 -4.270 7.027 3.275" Properties=species:S:1:pos:R:3 pbc="T T T"
Cd -7.193 6.469 8.640
Cd -2.195 -0.641 2.495
Cd -4.349 1.780 6.452
Pm 0.000 0.000 0.000
Cd -2.882 1.615 0.735
Ce -7.230 3.405 7.188
Cd -6.506 4.213 10.400
Cd -5.039 4.047 4.683
Ce -2.158 2.422 3.947
```

ΔH_f (0 K) = -0.284 eV per atom
Symmetry = C2/m (12)

| no. | calculated volume (Å³/atom) |
| --- | --- |
| 1 | 21.08 |
| 2 | 25.09 |